[1]
## TcNi2P (PBE)

Data for crystalline TcNi2P at its relaxed geometry.

```
TcNi2P
1.0
-2.734 1.007 -0.114
-0.687 -1.603 2.337
1.425 4.247 3.333
Ni Tc P
2 1 1
Direct
0.000 0.000 0.019
0.500 0.500 0.266
0.500 0.500 0.736
0.000 0.000 0.480
```

Results
Size of the total moment, μB per atom: 0.00
ΔE_f, eV/atom: -0.139

---

[2]
## PmSmPtI (PBE)

Data for crystalline PmSmPtI at its relaxed geometry.

```
PmSmPtI
1.0
-3.482 -2.102 1.188
1.926 -0.981 -3.643
6.270 -3.681 4.306
Sm Pt I Pm
1 1 1 1
Direct
0.093 0.945 0.053
0.305 0.550 0.870
0.966 0.381 0.362
0.514 0.155 0.685
```

Results
Size of the total moment, μB per atom: 0.00
Uncorrected formation energy, meV per atom: -1113

---

[3]
## Ca2SeO (PBE)

Data for crystalline Ca2SeO at its relaxed geometry.

```
Ca2SeO
1.0
-2.382 2.805 0.915
1.085 -2.503 2.634
6.165 2.673 0.001
Ca O Se
2 1 1
Direct
0.473 0.736 0.209
0.527 0.264 0.791
0.000 0.000 0.000
0.000 0.500 0.500
```

Results
Size of the total moment, μB per atom: 0.00
Energy relative to the lowest polymorph listed for this composition, meV/atom: 130
Uncorrected formation energy, meV per atom: -2297

---

Repeat the third record exactly.
## Ca2SeO (PBE)

Data for crystalline Ca2SeO at its relaxed geometry.

```
Ca2SeO
1.0
-2.382 2.805 0.915
1.085 -2.503 2.634
6.165 2.673 0.001
Ca O Se
2 1 1
Direct
0.473 0.736 0.209
0.527 0.264 0.791
0.000 0.000 0.000
0.000 0.500 0.500
```

Results
Size of the total moment, μB per atom: 0.00
Energy relative to the lowest polymorph listed for this composition, meV/atom: 130
Uncorrected formation energy, meV per atom: -2297